No. 1
The following is a PBE calculation of a relaxed Na6Tl3Hg2 crystal, from Alexandria via LeMat-Bulk.

a b c (Å): 5.8800 5.8800 21.7635
angles (deg): 90.00 90.00 90.00
Space group I4/mmm (No. 139)
Inequivalent atoms, fractional coordinates:
Na (0.0000, 0.0000, 0.2063) (multiplicity 4)
Na (0.0000, 0.5000, 0.0861) (multiplicity 8)
Tl (0.0000, 0.0000, 0.3508) (multiplicity 4)
Tl (0.0000, 0.0000, 0.5000) (multiplicity 2)
Hg (0.0000, 0.0000, 0.0660) (multiplicity 4)

Properties
Formation energy in eV/atom: -0.018
Density of states at the Fermi level in states/eV/cell: 13.29
Electronic total energy in eV per cell: -31.64
M_tot in μB/cell: 0.0
Offset from the most stable computed form in meV per atom: 78

***

No. 2
The following is a PBE calculation of a relaxed LaReAu2 crystal, from Alexandria via LeMat-Bulk.

a b c (Å): 11.5009 3.3299 4.7936
angles (deg): 90.00 114.55 90.00
Space group C2/m (No. 12)
Inequivalent atoms, fractional coordinates:
La (0.0000, 0.0000, 0.0000) (multiplicity 2)
Re (0.0000, 0.5000, 0.5000) (multiplicity 2)
Au (0.2154, 0.0000, 0.7154) (multiplicity 4)

Properties
Formation energy in eV/atom: 0.217
Density of states at the Fermi level in states/eV/cell: 9.15
Electronic total energy in eV per cell: -46.13
M_tot in μB/cell: 0.1
Offset from the most stable computed form in meV per atom: 56

***

No. 3
The following is a PBE calculation of a relaxed Sr3In2Cu2Ge4 crystal, from Alexandria via LeMat-Bulk.

a b c (Å): 4.3810 4.3810 16.8934
angles (deg): 90.00 90.00 120.00
Space group P-3m1 (No. 164)
Inequivalent atoms, fractional coordinates:
Sr (0.0000, 0.0000, 0.0000) (multiplicity 1)
Sr (0.0000, 0.0000, 0.2601) (multiplicity 2)
In (0.3333, 0.6667, 0.5607) (multiplicity 2)
Cu (0.3333, 0.6667, 0.1326) (multiplicity 2)
Ge (0.3333, 0.6667, 0.3836) (multiplicity 2)
Ge (0.3333, 0.6667, 0.8661) (multiplicity 2)

Properties
Formation energy in eV/atom: -0.342
Density of states at the Fermi level in states/eV/cell: 9.09
Electronic total energy in eV per cell: -40.95
M_tot in μB/cell: 0.0

***

No. 4
The following is a PBE calculation of a relaxed Na2TmGe3Pt4 crystal, from Alexandria via LeMat-Bulk.

a b c (Å): 4.2913 4.2913 10.9329
angles (deg): 90.00 90.00 90.00
Space group P-4m2 (No. 115)
Inequivalent atoms, fractional coordinates:
Na (0.0000, 0.5000, 0.2305) (multiplicity 2)
Tm (0.0000, 0.0000, 0.5000) (multiplicity 1)
Ge (0.0000, 0.5000, 0.8759) (multiplicity 2)
Ge (0.5000, 0.5000, 0.5000) (multiplicity 1)
Pt (0.0000, 0.0000, 0.0000) (multiplicity 1)
Pt (0.0000, 0.5000, 0.6521) (multiplicity 2)
Pt (0.5000, 0.5000, 0.0000) (multiplicity 1)

Properties
Formation energy in eV/atom: -0.610
Density of states at the Fermi level in states/eV/cell: 5.43
Electronic total energy in eV per cell: -51.23
M_tot in μB/cell: 0.0

***

No. 5
The following is a PBE calculation of a relaxed Ba3GeBi crystal, from Alexandria via LeMat-Bulk.

a b c (Å): 4.6791 9.7039 9.8064
angles (deg): 85.03 89.99 76.07
Space group P-1 (No. 2)
Inequivalent atoms, fractional coordinates:
Ba (0.0471, 0.4061, 0.1742) (multiplicity 2)
Ba (0.2414, 0.0166, 0.8076) (multiplicity 2)
Ba (0.3916, 0.7158, 0.4334) (multiplicity 2)
Ge (0.2168, 0.0670, 0.4445) (multiplicity 2)
Bi (0.3917, 0.7164, 0.0723) (multiplicity 2)

Properties
Formation energy in eV/atom: -0.636
Density of states at the Fermi level in states/eV/cell: 4.58
Electronic total energy in eV per cell: -34.89
M_tot in μB/cell: 1.5
Offset from the most stable computed form in meV per atom: 0

***

No. 6
The following is a PBE calculation of a relaxed Pr2SmHo2 crystal, from Alexandria via LeMat-Bulk.

a b c (Å): 6.2904 3.6393 14.8227
angles (deg): 90.00 98.27 90.00
Space group C2/m (No. 12)
Inequivalent atoms, fractional coordinates:
Pr (0.1330, 0.0000, 0.3937) (multiplicity 4)
Sm (0.0000, 0.0000, 0.0000) (multiplicity 2)
Ho (0.0999, 0.5000, 0.8048) (multiplicity 4)

Properties
Formation energy in eV/atom: 0.007
Density of states at the Fermi level in states/eV/cell: 12.64
Electronic total energy in eV per cell: -46.80
M_tot in μB/cell: 0.0
Offset from the most stable computed form in meV per atom: 0

***

No. 7
The following is a PBE calculation of a relaxed BaSbOs2N crystal, from Alexandria via LeMat-Bulk.

a b c (Å): 4.2516 4.2516 5.2838
angles (deg): 90.00 90.00 90.00
Space group P4/mmm (No. 123)
Inequivalent atoms, fractional coordinates:
Ba (0.0000, 0.0000, 0.0000) (multiplicity 1)
Sb (0.5000, 0.5000, 0.0000) (multiplicity 1)
Os (0.0000, 0.5000, 0.5000) (multiplicity 2)
N (0.5000, 0.5000, 0.5000) (multiplicity 1)

Properties
Density of states at the Fermi level in states/eV/cell: 5.57
Uncorrected formation energy in eV per atom: 0.969
Electronic total energy in eV per cell: -31.99
M_tot in μB/cell: 0.0

***

No. 8
The following is a PBE calculation of a relaxed Zr6IrOs5 crystal, from Alexandria via LeMat-Bulk.

a b c (Å): 4.6463 6.6020 13.9151
angles (deg): 90.00 90.00 90.00
Space group Immm (No. 71)
Inequivalent atoms, fractional coordinates:
Zr (0.0000, 0.2479, 0.0000) (multiplicity 4)
Zr (0.0000, 0.2511, 0.3332) (multiplicity 8)
Ir (0.0000, 0.0000, 0.5000) (multiplicity 2)
Os (0.0000, 0.0000, 0.1667) (multiplicity 4)
Os (0.0000, 0.5000, 0.1665) (multiplicity 4)
Os (0.0000, 0.5000, 0.5000) (multiplicity 2)

Properties
Formation energy in eV/atom: -0.559
Density of states at the Fermi level in states/eV/cell: 6.98
Electronic total energy in eV per cell: -246.00
M_tot in μB/cell: 0.0

***

No. 9
The following is a PBE calculation of a relaxed Mg4Cd2Rh crystal, from Alexandria via LeMat-Bulk.

a b c (Å): 4.4977 4.4977 14.4337
angles (deg): 90.00 90.00 90.00
Space group I4/mmm (No. 139)
Inequivalent atoms, fractional coordinates:
Mg (0.0000, 0.5000, 0.1008) (multiplicity 8)
Cd (0.0000, 0.0000, 0.2396) (multiplicity 4)
Rh (0.0000, 0.0000, 0.0000) (multiplicity 2)

Properties
Formation energy in eV/atom: -0.228
Density of states at the Fermi level in states/eV/cell: 3.92
Electronic total energy in eV per cell: -34.31
M_tot in μB/cell: 0.0

***

No. 10
The following is a PBE calculation of a relaxed LiInCu crystal, from Alexandria via LeMat-Bulk.

a b c (Å): 4.2931 4.2931 7.5043
angles (deg): 90.00 90.00 120.00
Space group P-6m2 (No. 187)
Inequivalent atoms, fractional coordinates:
Li (0.0000, 0.0000, 0.2432) (multiplicity 2)
In (0.3333, 0.6667, 0.0000) (multiplicity 1)
In (0.6667, 0.3333, 0.5000) (multiplicity 1)
Cu (0.3333, 0.6667, 0.3428) (multiplicity 2)

Properties
Formation energy in eV/atom: -0.012
Density of states at the Fermi level in states/eV/cell: 2.03
Electronic total energy in eV per cell: -17.57
M_tot in μB/cell: 0.0

***

No. 11
The following is a PBE calculation of a relaxed Er3Si2Pd2 crystal, from Alexandria via LeMat-Bulk.

a b c (Å): 5.6595 7.7412 12.8876
angles (deg): 90.00 90.00 90.00
Space group Pbcm (No. 57)
Inequivalent atoms, fractional coordinates:
Er (0.1259, 0.0948, 0.1059) (multiplicity 8)
Er (0.3636, 0.7322, 0.2500) (multiplicity 4)
Si (0.1448, 0.1195, 0.7500) (multiplicity 4)
Si (0.3092, 0.7500, 0.0000) (multiplicity 4)
Pd (0.3825, 0.0534, 0.5906) (multiplicity 8)

Properties
Density of states at the Fermi level in states/eV/cell: 19.54
Uncorrected formation energy in eV per atom: -0.903
Electronic total energy in eV per cell: -164.98
M_tot in μB/cell: 0.0

***

No. 12
The following is a PBE calculation of a relaxed Li3NdBr6 crystal, from Alexandria via LeMat-Bulk.

a b c (Å): 7.8853 7.9637 7.9655
angles (deg): 61.21 61.05 61.05
Space group P-1 (No. 2)
Inequivalent atoms, fractional coordinates:
Li (0.0000, 0.0000, 0.0000) (multiplicity 1)
Li (0.0000, 0.0000, 0.5000) (multiplicity 1)
Li (0.0000, 0.5000, 0.0000) (multiplicity 1)
Nd (0.5000, 0.5000, 0.5000) (multiplicity 1)
Br (0.2206, 0.2704, 0.7761) (multiplicity 2)
Br (0.2239, 0.7795, 0.2674) (multiplicity 2)
Br (0.2316, 0.7565, 0.7567) (multiplicity 2)

Properties
Density of states at the Fermi level in states/eV/cell: 0.00
Uncorrected formation energy in eV per atom: -1.596
Electronic total energy in eV per cell: -36.50
M_tot in μB/cell: 0.0
Offset from the most stable computed form in meV per atom: 0